1.
Below is an optimized crystal structure of LaNd6Sm2Tm, with properties calculated at the PBE level.

The structure belongs to space group C2/c (No. 15); the cell edges are 9.319, 15.412 and 9.824 Å and the angles 90.00°, 97.38° and 90.00°. The inequivalent atoms are La at (0.000, 0.023, 0.250), Nd at (0.064, 0.185, 0.945), Nd at (0.099, 0.394, 0.118), Nd at (0.211, 0.223, 0.313), Sm at (0.250, 0.050, 0.546) and Tm at (0.000, 0.410, 0.750).

The value obtained for the formation energy is 0.1112 eV per atom. The value obtained for the total energy is -4.633 eV per atom. For the volume, the calculation gives 34.98 A^3/atom. The calculation puts the magnetization at 0.00 μB/atom.

***

2.
Below is an optimized crystal structure of Pr7Dy2Th2, with properties calculated at the PBE level.

The structure belongs to space group C2/m (No. 12); the cell edges are 11.728, 11.588 and 6.131 Å and the angles 90.00°, 112.25° and 90.00°. The inequivalent atoms are Pr at (0.000, 0.000, 0.000), Pr at (0.065, 0.500, 0.795), Pr at (0.186, 0.224, 0.180), Dy at (0.222, 0.000, 0.604) and Th at (0.000, 0.214, 0.500).

The value obtained for the formation energy is 0.1797 eV per atom. The value obtained for the total energy is -5.048 eV per atom. The excess energy over the best structure of this formula in the dataset is 5 meV per atom. For the volume, the calculation gives 35.05 A^3/atom. The calculation puts the magnetization at 0.00 μB/atom.

***

3.
Below is an optimized crystal structure of NaSi3O6, with properties calculated at the PBE level.

The structure belongs to space group Ibam (No. 72); the cell edges are 6.134, 10.307 and 8.972 Å and the angles 90.00°, 90.00° and 90.00°. The inequivalent atoms are Na at (0.000, 0.000, 0.250), Si at (0.000, 0.500, 0.250), Si at (0.167, 0.313, 0.000), O at (0.074, 0.239, 0.500) and O at (0.167, 0.413, 0.148).

The value obtained for the total energy is -7.120 eV per atom. For the formation energy from raw total energies, the calculation gives -2386 meV per atom. For the volume, the calculation gives 14.18 A^3/atom. The calculation puts the magnetization at 0.00 μB/atom.

***

4.
Below is an optimized crystal structure of PtNO2F, with properties calculated at the PBE level.

The structure belongs to space group P4/mmm (No. 123); the cell edges are 3.770, 3.770 and 3.581 Å and the angles 90.00°, 90.00° and 90.00°. The inequivalent atoms are Pt at (0.000, 0.000, 0.000), N at (0.500, 0.500, 0.000), O at (0.000, 0.500, 0.500) and F at (0.500, 0.500, 0.500).

The value obtained for the total energy is -3.164 eV per atom. For the formation energy from raw total energies, the calculation gives 2067 meV per atom. For the volume, the calculation gives 10.18 A^3/atom. The calculation puts the magnetization at 0.22 μB/atom.

***

5.
Below is an optimized crystal structure of CaCu3Br, with properties calculated at the PBE level.

The structure belongs to space group Pm-3m (No. 221); the cell edges are 4.849, 4.849 and 4.849 Å and the angles 90.00°, 90.00° and 90.00°. The inequivalent atoms are Ca at (0.000, 0.000, 0.000), Cu at (0.000, 0.500, 0.500) and Br at (0.500, 0.500, 0.500).

The value obtained for the total energy is -2.563 eV per atom. For the formation energy from raw total energies, the calculation gives 630 meV per atom. The excess energy over the best structure of this formula in the dataset is 0 meV per atom. For the volume, the calculation gives 22.80 A^3/atom. The calculation puts the magnetization at 0.00 μB/atom.

***

6.
Below is an optimized crystal structure of ZrMnNi2, with properties calculated at the PBE level.

The structure belongs to space group I-42d (No. 122); the cell edges are 3.783, 3.783 and 17.116 Å and the angles 90.00°, 90.00° and 90.00°. The inequivalent atoms are Zr at (0.000, 0.000, 0.000), Mn at (0.000, 0.000, 0.500) and Ni at (0.206, 0.250, 0.625).

The value obtained for the formation energy is 0.2554 eV per atom. The value obtained for the total energy is -7.065 eV per atom. For the volume, the calculation gives 15.31 A^3/atom. The calculation puts the magnetization at 0.73 μB/atom.

***

7.
Below is an optimized crystal structure of TlZnHg, with properties calculated at the PBE level.

The structure belongs to space group P-1 (No. 2); the cell edges are 4.154, 4.900 and 7.490 Å and the angles 85.03°, 89.90° and 89.98°. The inequivalent atoms are Tl at (0.249, 0.281, 0.359), Zn at (0.250, 0.668, 0.975) and Hg at (0.251, 0.174, 0.788).

The value obtained for the formation energy is 0.0611 eV per atom. The value obtained for the total energy is -1.253 eV per atom. The excess energy over the best structure of this formula in the dataset is 1 meV per atom. For the volume, the calculation gives 25.32 A^3/atom. The calculation puts the magnetization at 0.00 μB/atom.

***

8.
Below is an optimized crystal structure of CaNd2Cu6, with properties calculated at the PBE level.

The structure belongs to space group P6/mmm (No. 191); the cell edges are 7.3884, 7.3884 and 3.7995 Å and the angles 90.00°, 90.00° and 120.00°. The inequivalent atoms are Ca at (0.0000, 0.0000, 0.0000), Nd at (0.3333, 0.6667, 0.0000) and Cu at (0.0000, 0.3331, 0.5000).

The value obtained for the formation energy is -0.1784 eV per atom. The value obtained for the total energy is -4.191 eV per atom. For the volume, the calculation gives 19.96 A^3/atom. The calculation puts the magnetization at 0.00 μB/atom.

***

Question: Number 6 is which compound?
Answer: ZrMnNi2